This record from the Alexandria database describes FeNi2Ru after structural relaxation. The functional is PBE.

a b c (Å): 4.4583 4.4583 4.4535
angles (deg): 80.38 80.38 33.34
With the nearest neighbours (Å) after each atom.
Fractional positions:
Fe1 0.2500 0.2500 0.2500  2 Fe 2.56, 6 Ni 2.56-2.57, 4 Ru 2.57
Ni1 0.9992 0.9992 0.0029  6 Ni 2.55-2.59, 3 Fe 2.56-2.57, 3 Ru 2.58
Ni2 0.5008 0.5008 0.4971  6 Ni 2.55-2.59, 3 Fe 2.56-2.57, 3 Ru 2.58
Ru1 0.7500 0.7500 0.7500  2 Ru 2.56, 4 Fe 2.57, 6 Ni 2.58

ΔH_f (0 K) = 101.0 meV/atom



This record from the Alexandria database describes VCuI2 after structural relaxation. The functional is PBE.

a b c (Å): 6.3445 6.3445 7.5129
angles (deg): 65.02 65.02 90.00
With the nearest neighbours (Å) after each atom.
Fractional positions:
V1 0.5000 0.5000 0.0000  4 I 2.78
V2 0.2500 0.7500 0.5000  4 I 2.78
I1 0.6447 0.1250 0.2500  2 Cu 2.63, 2 V 2.78
I2 0.8750 0.8947 0.7500  2 Cu 2.63, 2 V 2.78
I3 0.3750 0.3553 0.7500  2 Cu 2.63, 2 V 2.78
I4 0.1053 0.6250 0.2500  2 Cu 2.63, 2 V 2.78
Cu1 0.0000 0.0000 0.0000  4 I 2.63
Cu2 0.7500 0.2500 0.5000  4 I 2.63

Relative energy among the computed polymorphs = 0.0 meV per atom
Formation energy from raw total energies = 0.95 eV per formula unit



Number 1: calculated total energy -7.2243 eV per atom, total magnetization 3.59 μB/cell. Number 2: calculated total energy -3.8405 eV per atom, total magnetization 8.00 μB/cell.